[1]
Density functional theory data (PBE) for an optimized crystal structure of Al2ZnSn2.

Cell and atoms, written as CIF:
```
data_Al2ZnSn2
_chemical_formula_sum 'Al4 Zn2 Sn4'
_cell_length_a 8.307
_cell_length_b 8.307
_cell_length_c 3.290
_cell_angle_alpha 90.00
_cell_angle_beta 90.00
_cell_angle_gamma 90.00
_symmetry_space_group_name_H-M 'P 4/m b m'
_symmetry_Int_Tables_number 127
_symmetry_space_group_name_Hall '-P 4 2ab'
loop_
_atom_site_label
_atom_site_fract_x
_atom_site_fract_y
_atom_site_fract_z
Al1 0.123 0.377 0.000
Zn1 0.000 0.000 0.500
Sn1 0.173 0.673 0.500
```

Computed properties:
Its formation energy is 0.251 eV/atom. The value obtained for the volume is 22.71 A^3/atom. For the energy above the most stable polymorph in this dataset, the calculation gives 0.093 eV per atom.

=====

[2]
Density functional theory data (PBE) for an optimized crystal structure of AlZn2Sn.

Cell and atoms, written as CIF:
```
data_AlZn2Sn
_chemical_formula_sum 'Al4 Zn8 Sn4'
_cell_length_a 6.788
_cell_length_b 6.788
_cell_length_c 6.788
_cell_angle_alpha 90.00
_cell_angle_beta 90.00
_cell_angle_gamma 90.00
_symmetry_space_group_name_H-M 'F m -3 m'
_symmetry_Int_Tables_number 225
_symmetry_space_group_name_Hall '-F 4 2 3'
loop_
_atom_site_label
_atom_site_fract_x
_atom_site_fract_y
_atom_site_fract_z
Al1 0.000 0.000 0.000
Zn1 0.250 0.250 0.250
Sn1 0.000 0.000 0.500
```

Computed properties:
Its formation energy is 0.182 eV/atom. The value obtained for the volume is 19.55 A^3/atom. For the energy above the most stable polymorph in this dataset, the calculation gives 0.053 eV per atom.

=====

[3]
Density functional theory data (PBE) for an optimized crystal structure of AlZnSn2.

Cell and atoms, written as CIF:
```
data_AlZnSn2
_chemical_formula_sum 'Al4 Zn4 Sn8'
_cell_length_a 7.102
_cell_length_b 7.102
_cell_length_c 7.102
_cell_angle_alpha 90.00
_cell_angle_beta 90.00
_cell_angle_gamma 90.00
_symmetry_space_group_name_H-M 'F m -3 m'
_symmetry_Int_Tables_number 225
_symmetry_space_group_name_Hall '-F 4 2 3'
loop_
_atom_site_label
_atom_site_fract_x
_atom_site_fract_y
_atom_site_fract_z
Al1 0.000 0.000 0.000
Zn1 0.000 0.000 0.500
Sn1 0.250 0.250 0.250
```

Computed properties:
Its formation energy is 0.167 eV/atom. The value obtained for the volume is 22.39 A^3/atom. For the energy above the most stable polymorph in this dataset, the calculation gives 0.032 eV per atom.

=====

[4]
Density functional theory data (PBE) for an optimized crystal structure of AlZn2Sn2.

Cell and atoms, written as CIF:
```
data_AlZn2Sn2
_chemical_formula_sum 'Al2 Zn4 Sn4'
_cell_length_a 7.094
_cell_length_b 7.094
_cell_length_c 4.203
_cell_angle_alpha 90.00
_cell_angle_beta 90.00
_cell_angle_gamma 90.00
_symmetry_space_group_name_H-M 'P 4/m b m'
_symmetry_Int_Tables_number 127
_symmetry_space_group_name_Hall '-P 4 2ab'
loop_
_atom_site_label
_atom_site_fract_x
_atom_site_fract_y
_atom_site_fract_z
Al1 0.000 0.000 0.000
Zn1 0.127 0.373 0.000
Sn1 0.183 0.683 0.500
```

Computed properties:
Its formation energy is 0.141 eV/atom. The value obtained for the volume is 21.16 A^3/atom. For the energy above the most stable polymorph in this dataset, the calculation gives 0.000 eV per atom.

=====

[5]
Density functional theory data (PBE) for an optimized crystal structure of AlZn2Sn.

Cell and atoms, written as CIF:
```
data_AlZn2Sn
_chemical_formula_sum 'Al3 Zn6 Sn3'
_cell_length_a 4.2802
_cell_length_b 4.2802
_cell_length_c 15.5863
_cell_angle_alpha 90.00
_cell_angle_beta 90.00
_cell_angle_gamma 120.00
_symmetry_space_group_name_H-M 'R 3 m'
_symmetry_Int_Tables_number 160
_symmetry_space_group_name_Hall 'R 3 -2"'
loop_
_atom_site_label
_atom_site_fract_x
_atom_site_fract_y
_atom_site_fract_z
Al1 0.0000 0.0000 0.0000
Zn1 0.0000 0.0000 0.4102
Zn2 0.0000 0.0000 0.6112
Sn1 0.0000 0.0000 0.1858
```

Computed properties:
Its formation energy is 0.156 eV/atom. The value obtained for the volume is 20.61 A^3/atom. For the energy above the most stable polymorph in this dataset, the calculation gives 0.027 eV per atom.

=====

[6]
Density functional theory data (PBE) for an optimized crystal structure of AlZnSn2.

Cell and atoms, written as CIF:
```
data_AlZnSn2
_chemical_formula_sum 'Al3 Zn3 Sn6'
_cell_length_a 3.2431
_cell_length_b 3.2431
_cell_length_c 30.5962
_cell_angle_alpha 90.00
_cell_angle_beta 90.00
_cell_angle_gamma 120.00
_symmetry_space_group_name_H-M 'R -3 m'
_symmetry_Int_Tables_number 166
_symmetry_space_group_name_Hall '-R 3 2"'
loop_
_atom_site_label
_atom_site_fract_x
_atom_site_fract_y
_atom_site_fract_z
Al1 0.0000 0.0000 0.0000
Zn1 0.0000 0.0000 0.5000
Sn1 0.0000 0.0000 0.0931
```

Computed properties:
Its formation energy is 0.218 eV/atom. The value obtained for the volume is 23.22 A^3/atom. For the energy above the most stable polymorph in this dataset, the calculation gives 0.083 eV per atom.

=====

[7]
Density functional theory data (PBE) for an optimized crystal structure of AlZnSn.

Cell and atoms, written as CIF:
```
data_AlZnSn
_chemical_formula_sum 'Al2 Zn2 Sn2'
_cell_length_a 3.197
_cell_length_b 3.197
_cell_length_c 11.838
_cell_angle_alpha 90.00
_cell_angle_beta 90.00
_cell_angle_gamma 90.00
_symmetry_space_group_name_H-M 'I 4 m m'
_symmetry_Int_Tables_number 107
_symmetry_space_group_name_Hall 'I 4 -2'
loop_
_atom_site_label
_atom_site_fract_x
_atom_site_fract_y
_atom_site_fract_z
Al1 0.000 0.000 0.000
Zn1 0.000 0.000 0.635
Sn1 0.000 0.000 0.317
```

Computed properties:
Its formation energy is 0.137 eV/atom. The value obtained for the volume is 20.16 A^3/atom.

=====

[8]
Density functional theory data (PBE) for an optimized crystal structure of Al3Zn3Sn.

Cell and atoms, written as CIF:
```
data_Al3Zn3Sn
_chemical_formula_sum 'Al6 Zn6 Sn2'
_cell_length_a 7.021
_cell_length_b 7.021
_cell_length_c 7.021
_cell_angle_alpha 90.00
_cell_angle_beta 90.00
_cell_angle_gamma 90.00
_symmetry_space_group_name_H-M 'P m -3 n'
_symmetry_Int_Tables_number 223
_symmetry_space_group_name_Hall '-P 4n 2 3'
loop_
_atom_site_label
_atom_site_fract_x
_atom_site_fract_y
_atom_site_fract_z
Al1 0.000 0.250 0.500
Zn1 0.000 0.500 0.250
Sn1 0.000 0.000 0.000
```

Computed properties:
Its formation energy is 0.554 eV/atom. The value obtained for the volume is 24.72 A^3/atom.

=====

[9]
Density functional theory data (PBE) for an optimized crystal structure of AlZnSn2.

Cell and atoms, written as CIF:
```
data_AlZnSn2
_chemical_formula_sum 'Al4 Zn4 Sn8'
_cell_length_a 5.172
_cell_length_b 5.172
_cell_length_c 15.953
_cell_angle_alpha 90.00
_cell_angle_beta 90.00
_cell_angle_gamma 90.00
_symmetry_space_group_name_H-M 'I -4 2 d'
_symmetry_Int_Tables_number 122
_symmetry_space_group_name_Hall 'I -4 2bw'
loop_
_atom_site_label
_atom_site_fract_x
_atom_site_fract_y
_atom_site_fract_z
Al1 0.000 0.000 0.000
Zn1 0.000 0.000 0.500
Sn1 0.236 0.250 0.625
```

Computed properties:
Its formation energy is 0.215 eV/atom. The value obtained for the volume is 26.67 A^3/atom. For the energy above the most stable polymorph in this dataset, the calculation gives 0.080 eV per atom.

=====

[10]
Density functional theory data (PBE) for an optimized crystal structure of AlZnSn.

Cell and atoms, written as CIF:
```
data_AlZnSn
_chemical_formula_sum 'Al4 Zn4 Sn4'
_cell_length_a 6.414
_cell_length_b 6.414
_cell_length_c 6.414
_cell_angle_alpha 90.00
_cell_angle_beta 90.00
_cell_angle_gamma 90.00
_symmetry_space_group_name_H-M 'F -4 3 m'
_symmetry_Int_Tables_number 216
_symmetry_space_group_name_Hall 'F -4 2 3'
loop_
_atom_site_label
_atom_site_fract_x
_atom_site_fract_y
_atom_site_fract_z
Al1 0.000 0.000 0.000
Zn1 0.250 0.250 0.250
Sn1 0.000 0.000 0.500
```

Computed properties:
Its formation energy is 0.143 eV/atom. The value obtained for the volume is 21.99 A^3/atom.

=====

[11]
Density functional theory data (PBE) for an optimized crystal structure of Al2ZnSn.

Cell and atoms, written as CIF:
```
data_Al2ZnSn
_chemical_formula_sum 'Al6 Zn3 Sn3'
_cell_length_a 4.2266
_cell_length_b 4.2266
_cell_length_c 16.1162
_cell_angle_alpha 90.00
_cell_angle_beta 90.00
_cell_angle_gamma 120.00
_symmetry_space_group_name_H-M 'R 3 m'
_symmetry_Int_Tables_number 160
_symmetry_space_group_name_Hall 'R 3 -2"'
loop_
_atom_site_label
_atom_site_fract_x
_atom_site_fract_y
_atom_site_fract_z
Al1 0.0000 0.0000 0.0000
Al2 0.0000 0.0000 0.2052
Zn1 0.0000 0.0000 0.6076
Sn1 0.0000 0.0000 0.4324
```

Computed properties:
Its formation energy is 0.152 eV/atom. The value obtained for the volume is 20.78 A^3/atom.

=====

[12]
Density functional theory data (PBE) for an optimized crystal structure of ZrAlSn2.

Cell and atoms, written as CIF:
```
data_ZrAlSn2
_chemical_formula_sum 'Zr4 Al4 Sn8'
_cell_length_a 7.962
_cell_length_b 7.962
_cell_length_c 5.944
_cell_angle_alpha 90.00
_cell_angle_beta 90.00
_cell_angle_gamma 90.00
_symmetry_space_group_name_H-M 'I -4 2 d'
_symmetry_Int_Tables_number 122
_symmetry_space_group_name_Hall 'I -4 2bw'
loop_
_atom_site_label
_atom_site_fract_x
_atom_site_fract_y
_atom_site_fract_z
Zr1 0.000 0.000 0.000
Al1 0.000 0.000 0.500
Sn1 0.228 0.250 0.625
```

Computed properties:
Its formation energy is 0.052 eV/atom. The value obtained for the volume is 23.55 A^3/atom.

=====

[13]
Density functional theory data (PBE) for an optimized crystal structure of Zr2Al2Sn.

Cell and atoms, written as CIF:
```
data_Zr2Al2Sn
_chemical_formula_sum 'Zr4 Al4 Sn2'
_cell_length_a 7.062
_cell_length_b 7.062
_cell_length_c 4.040
_cell_angle_alpha 90.00
_cell_angle_beta 90.00
_cell_angle_gamma 90.00
_symmetry_space_group_name_H-M 'P 4/m b m'
_symmetry_Int_Tables_number 127
_symmetry_space_group_name_Hall '-P 4 2ab'
loop_
_atom_site_label
_atom_site_fract_x
_atom_site_fract_y
_atom_site_fract_z
Zr1 0.176 0.324 0.000
Al1 0.124 0.624 0.500
Sn1 0.000 0.000 0.500
```

Computed properties:
Its formation energy is -0.351 eV/atom. The value obtained for the volume is 20.15 A^3/atom. For the energy above the most stable polymorph in this dataset, the calculation gives 0.000 eV per atom.

=====

[14]
Density functional theory data (PBE) for an optimized crystal structure of Zr6AlSn3.

Cell and atoms, written as CIF:
```
data_Zr6AlSn3
_chemical_formula_sum 'Zr12 Al2 Sn6'
_cell_length_a 7.399
_cell_length_b 7.416
_cell_length_c 11.353
_cell_angle_alpha 90.00
_cell_angle_beta 130.37
_cell_angle_gamma 90.00
_symmetry_space_group_name_H-M 'P 1 21/c 1'
_symmetry_Int_Tables_number 14
loop_
_symmetry_equiv_pos_as_xyz
'x,y,z'
'-x,-y,-z'
'-x,y+1/2,-z+1/2'
'x,-y+1/2,z+1/2'
loop_
_atom_site_label
_atom_site_fract_x
_atom_site_fract_y
_atom_site_fract_z
Zr1 0.025 0.093 0.256
Zr2 0.203 0.164 0.056
Zr3 0.404 0.649 0.053
Al1 0.000 0.000 0.500
Sn1 0.308 0.670 0.743
Sn2 0.500 0.000 0.000
```

Computed properties:
Its formation energy is -0.215 eV/atom. The value obtained for the volume is 23.73 A^3/atom.

=====

[15]
Density functional theory data (PBE) for an optimized crystal structure of Zr12AlSn6.

Cell and atoms, written as CIF:
```
data_Zr12AlSn6
_chemical_formula_sum 'Zr36 Al3 Sn18'
_cell_length_a 10.7482
_cell_length_b 10.7482
_cell_length_c 12.8654
_cell_angle_alpha 90.00
_cell_angle_beta 90.00
_cell_angle_gamma 120.00
_symmetry_space_group_name_H-M 'R -3'
_symmetry_Int_Tables_number 148
_symmetry_space_group_name_Hall '-R 3'
loop_
_atom_site_label
_atom_site_fract_x
_atom_site_fract_y
_atom_site_fract_z
Zr1 0.0471 0.1834 0.3122
Zr2 0.0651 0.8474 0.9136
Al1 0.0000 0.0000 0.5000
Sn1 0.0230 0.4341 0.2107
```

Computed properties:
Its formation energy is -0.303 eV/atom. The value obtained for the volume is 22.58 A^3/atom.

=====

[16]
Density functional theory data (PBE) for an optimized crystal structure of Zr4AlSn.

Cell and atoms, written as CIF:
```
data_Zr4AlSn
_chemical_formula_sum 'Zr8 Al2 Sn2'
_cell_length_a 6.861
_cell_length_b 6.861
_cell_length_c 5.622
_cell_angle_alpha 90.00
_cell_angle_beta 90.00
_cell_angle_gamma 90.00
_symmetry_space_group_name_H-M 'P 4/m c c'
_symmetry_Int_Tables_number 124
_symmetry_space_group_name_Hall '-P 4 2c'
loop_
_atom_site_label
_atom_site_fract_x
_atom_site_fract_y
_atom_site_fract_z
Zr1 0.144 0.342 0.000
Al1 0.000 0.000 0.250
Sn1 0.500 0.500 0.250
```

Computed properties:
Its formation energy is -0.381 eV/atom. The value obtained for the volume is 22.06 A^3/atom.

=====

[17]
Density functional theory data (PBE) for an optimized crystal structure of Zr5Al2Sn.

Cell and atoms, written as CIF:
```
data_Zr5Al2Sn
_chemical_formula_sum 'Zr20 Al8 Sn4'
_cell_length_a 7.393
_cell_length_b 7.393
_cell_length_c 12.548
_cell_angle_alpha 90.00
_cell_angle_beta 90.00
_cell_angle_gamma 90.00
_symmetry_space_group_name_H-M 'I 4/m c m'
_symmetry_Int_Tables_number 140
_symmetry_space_group_name_Hall '-I 4 2c'
loop_
_atom_site_label
_atom_site_fract_x
_atom_site_fract_y
_atom_site_fract_z
Zr1 0.000 0.000 0.000
Zr2 0.158 0.342 0.152
Al1 0.133 0.367 0.500
Sn1 0.000 0.000 0.250
```

Computed properties:
Its formation energy is -0.424 eV/atom. The value obtained for the volume is 21.43 A^3/atom.

=====

[18]
Density functional theory data (PBE) for an optimized crystal structure of ZrAl3Sn.

Cell and atoms, written as CIF:
```
data_ZrAl3Sn
_chemical_formula_sum 'Zr1 Al3 Sn1'
_cell_length_a 5.084
_cell_length_b 5.084
_cell_length_c 5.084
_cell_angle_alpha 90.00
_cell_angle_beta 90.00
_cell_angle_gamma 90.00
_symmetry_space_group_name_H-M 'P m -3 m'
_symmetry_Int_Tables_number 221
_symmetry_space_group_name_Hall '-P 4 2 3'
loop_
_atom_site_label
_atom_site_fract_x
_atom_site_fract_y
_atom_site_fract_z
Zr1 0.000 0.000 0.000
Al1 0.000 0.500 0.500
Sn1 0.500 0.500 0.500
```

Computed properties:
Its formation energy is 1.041 eV/atom. The value obtained for the volume is 26.29 A^3/atom. For the energy above the most stable polymorph in this dataset, the calculation gives 0.239 eV per atom.

=====

[19]
Density functional theory data (PBE) for an optimized crystal structure of ZrAl3Sn.

Cell and atoms, written as CIF:
```
data_ZrAl3Sn
_chemical_formula_sum 'Zr1 Al3 Sn1'
_cell_length_a 5.238
_cell_length_b 5.238
_cell_length_c 5.238
_cell_angle_alpha 90.00
_cell_angle_beta 90.00
_cell_angle_gamma 90.00
_symmetry_space_group_name_H-M 'P m -3 m'
_symmetry_Int_Tables_number 221
_symmetry_space_group_name_Hall '-P 4 2 3'
loop_
_atom_site_label
_atom_site_fract_x
_atom_site_fract_y
_atom_site_fract_z
Zr1 0.000 0.000 0.000
Al1 0.000 0.000 0.500
Sn1 0.500 0.500 0.500
```

Computed properties:
Its formation energy is 0.802 eV/atom. The value obtained for the volume is 28.74 A^3/atom. For the energy above the most stable polymorph in this dataset, the calculation gives 0.000 eV per atom.

=====

[20]
Density functional theory data (PBE) for an optimized crystal structure of ZrAlSn2.

Cell and atoms, written as CIF:
```
data_ZrAlSn2
_chemical_formula_sum 'Zr1 Al1 Sn2'
_cell_length_a 4.533
_cell_length_b 4.533
_cell_length_c 4.270
_cell_angle_alpha 90.00
_cell_angle_beta 90.00
_cell_angle_gamma 90.00
_symmetry_space_group_name_H-M 'P 4/m m m'
_symmetry_Int_Tables_number 123
_symmetry_space_group_name_Hall '-P 4 2'
loop_
_atom_site_label
_atom_site_fract_x
_atom_site_fract_y
_atom_site_fract_z
Zr1 0.000 0.000 0.000
Al1 0.500 0.500 0.000
Sn1 0.000 0.500 0.500
```

Computed properties:
Its formation energy is -0.125 eV/atom. The value obtained for the volume is 21.94 A^3/atom.